# 1
VASP calculation (PBE) on Sc2VPbN after structural relaxation.

The calculation puts the formation energy from raw total energies at -0.77 eV per atom. The density of states at the Fermi level is 3.8 states/eV/cell.

The space group is P4/mmm (No. 123) and the conventional cell measures 4.601, 4.601 and 3.939 Å, with angles of 90.00, 90.00 and 90.00 degrees. The distinct sites, in fractional coordinates, are Sc at (0.000, 0.500, 0.000), V at (0.000, 0.000, 0.500), Pb at (0.500, 0.500, 0.500) and N at (0.000, 0.000, 0.000).

---

# 2
VASP calculation (PBE) on TbTm2Co after structural relaxation.

For the calculated formation energy, the calculation gives -17.8 kJ/mol of atoms. The energy above the most stable polymorph in this dataset comes out at 0 meV/atom. The density of states at the Fermi level is 18.0 states/eV/cell.

The space group is Pnma (No. 62) and the conventional cell measures 6.899, 9.265 and 6.208 Å, with angles of 90.00, 90.00 and 90.00 degrees. The distinct sites, in fractional coordinates, are Tb at (0.042, 0.250, 0.139), Tm at (0.174, 0.068, 0.676) and Co at (0.113, 0.750, 0.451).

---

# 3
VASP calculation (PBE) on SrGePbO4 after structural relaxation.

The calculation puts the formation energy from raw total energies at -1.91 eV per atom. The energy above the most stable polymorph in this dataset comes out at 77 meV/atom. The density of states at the Fermi level is 0.0 states/eV/cell.

The space group is P2_1/m (No. 11) and the conventional cell measures 6.524, 5.788 and 7.419 Å, with angles of 90.00, 96.37 and 90.00 degrees. The distinct sites, in fractional coordinates, are Sr at (0.182, 0.250, 0.111), Ge at (0.310, 0.750, 0.863), Pb at (0.341, 0.250, 0.666), O at (0.140, 0.505, 0.833), O at (0.420, 0.750, 0.093) and O at (0.486, 0.750, 0.700).

---

# 4
VASP calculation (PBE) on CaGaP3 after structural relaxation.

For the calculated formation energy, the calculation gives 21.0 kJ/mol of atoms. The energy above the most stable polymorph in this dataset comes out at 0 meV/atom. The density of states at the Fermi level is 5.0 states/eV/cell.

The space group is Pm-3m (No. 221) and the conventional cell measures 4.775, 4.775 and 4.775 Å, with angles of 90.00, 90.00 and 90.00 degrees. The distinct sites, in fractional coordinates, are Ca at (0.000, 0.000, 0.000), Ga at (0.500, 0.500, 0.500) and P at (0.000, 0.500, 0.500).

---

# 5
VASP calculation (PBE) on LiMo2Pb after structural relaxation.

For the calculated formation energy, the calculation gives 36.6 kJ/mol of atoms. The density of states at the Fermi level is 4.7 states/eV/cell.

The space group is Cmm2 (No. 35) and the conventional cell measures 3.287, 5.009 and 9.351 Å, with angles of 90.00, 90.00 and 90.00 degrees. The distinct sites, in fractional coordinates, are Li at (0.000, 0.000, 0.000), Mo at (0.000, 0.000, 0.551), Mo at (0.000, 0.500, 0.753) and Pb at (0.000, 0.500, 0.273).

---

# 6
VASP calculation (PBE) on TlIn2HgRu after structural relaxation.

For the calculated formation energy, the calculation gives 7.9 kJ/mol of atoms. The density of states at the Fermi level is 3.1 states/eV/cell.

The space group is P4/mmm (No. 123) and the conventional cell measures 5.175, 5.175 and 5.326 Å, with angles of 90.00, 90.00 and 90.00 degrees. The distinct sites, in fractional coordinates, are Tl at (0.000, 0.000, 0.000), In at (0.000, 0.500, 0.500), Hg at (0.500, 0.500, 0.000) and Ru at (0.000, 0.000, 0.500).

---

# 7
VASP calculation (PBE) on ScNiH2 after structural relaxation.

The energy above the most stable polymorph in this dataset comes out at 300 meV/atom. The density of states at the Fermi level is 9.4 states/eV/cell.

The space group is Fm-3m (No. 225) and the conventional cell measures 5.267, 5.267 and 5.267 Å, with angles of 90.00, 90.00 and 90.00 degrees. The distinct sites, in fractional coordinates, are Sc at (0.000, 0.000, 0.000), Ni at (0.000, 0.000, 0.500) and H at (0.250, 0.250, 0.250).

---

# 8
VASP calculation (PBE) on Mn2TcRu after structural relaxation.

For the calculated formation energy, the calculation gives 9.7 kJ/mol of atoms. The density of states at the Fermi level is 4.3 states/eV/cell.

The space group is Pmmm (No. 47) and the conventional cell measures 2.653, 3.632 and 5.322 Å, with angles of 90.00, 90.00 and 90.00 degrees. The distinct sites, in fractional coordinates, are Mn at (0.000, 0.000, 0.247), Tc at (0.500, 0.500, 0.500) and Ru at (0.500, 0.500, 0.000).